# 1
First-principles (PBE) data for a geometry-optimized Gd2CdAg structure, as listed in Alexandria via LeMat-Bulk.

Properties
Calculated formation energy (eV/atom): -0.316
Crystal system: tetragonal

abc: 3.699 3.699 7.533
angles: 90.00 90.00 90.00
Space group P4/mmm (No. 123)
Inequivalent atoms, fractional coordinates:
Gd 0.000 0.000 0.242
Cd 0.500 0.500 0.500
Ag 0.500 0.500 0.000

=====

# 2
First-principles (PBE) data for a geometry-optimized ScTlBi structure, as listed in Alexandria via LeMat-Bulk.

Properties
ΔE to the lowest computed polymorph (meV per atom): 2
Calculated formation energy (eV/atom): -0.058
Crystal system: orthorhombic

abc: 3.345 5.631 18.453
angles: 90.00 90.00 90.00
Space group Immm (No. 71)
Inequivalent atoms, fractional coordinates:
Sc 0.000 0.000 0.169
Tl 0.000 0.249 0.000
Bi 0.000 0.000 0.333

=====

# 3
First-principles (PBE) data for a geometry-optimized Ti2NbZn2 structure, as listed in Alexandria via LeMat-Bulk.

Properties
ΔE to the lowest computed polymorph (meV per atom): 162
Calculated formation energy (eV/atom): 0.084
Crystal system: tetragonal

abc: 7.561 7.561 2.863
angles: 90.00 90.00 90.00
Space group P4/mbm (No. 127)
Inequivalent atoms, fractional coordinates:
Ti 0.126 0.374 0.000
Nb 0.000 0.000 0.000
Zn 0.173 0.673 0.500

=====

# 4
First-principles (PBE) data for a geometry-optimized BaNbTe2O8 structure, as listed in Alexandria via LeMat-Bulk.

Properties
Uncorrected formation energy (eV/atom): -1.6782
Crystal system: monoclinic

abc: 12.426 5.478 6.044
angles: 90.00 109.80 90.00
Space group C2/m (No. 12)
Inequivalent atoms, fractional coordinates:
Ba 0.000 0.000 0.000
Nb 0.000 0.500 0.500
Te 0.219 0.000 0.685
O 0.080 0.500 0.277
O 0.107 0.240 0.710
O 0.190 0.000 0.365

=====

# 5
First-principles (PBE) data for a geometry-optimized Sr3MgRu2O9 structure, as listed in Alexandria via LeMat-Bulk.

Properties
Uncorrected formation energy (eV/atom): -2.0176
Crystal system: trigonal

abc: 5.6178 5.6178 6.8900
angles: 90.00 90.00 120.00
Space group P-3m1 (No. 164)
Inequivalent atoms, fractional coordinates:
Sr 0.0000 0.0000 0.0000
Sr 0.3333 0.6667 0.6595
Mg 0.0000 0.0000 0.5000
Ru 0.3333 0.6667 0.1689
O 0.0000 0.5000 0.0000
O 0.1707 0.3414 0.3278

=====

# 6
First-principles (PBE) data for a geometry-optimized KAl3Ni structure, as listed in Alexandria via LeMat-Bulk.

Properties
ΔE to the lowest computed polymorph (meV per atom): 2041
Calculated formation energy (eV/atom): 2.045
Crystal system: cubic

abc: 5.527 5.527 5.527
angles: 90.00 90.00 90.00
Space group Pm-3m (No. 221)
Inequivalent atoms, fractional coordinates:
K 0.000 0.000 0.000
Al 0.000 0.000 0.500
Ni 0.500 0.500 0.500

=====

# 7
First-principles (PBE) data for a geometry-optimized SmGa3CuRu structure, as listed in Alexandria via LeMat-Bulk.

Properties
Calculated formation energy (eV/atom): -0.252
Crystal system: orthorhombic

abc: 6.396 12.195 5.717
angles: 90.00 90.00 90.00
Space group Cmcm (No. 63)
Inequivalent atoms, fractional coordinates:
Sm 0.000 0.232 0.250
Ga 0.000 0.348 0.750
Ga 0.194 0.000 0.000
Cu 0.000 0.147 0.750
Ru 0.000 0.447 0.250

=====

# 8
First-principles (PBE) data for a geometry-optimized DyErTlRh structure, as listed in Alexandria via LeMat-Bulk.

Properties
ΔE to the lowest computed polymorph (meV per atom): 122
Calculated formation energy (eV/atom): -0.508
Crystal system: cubic

abc: 7.201 7.201 7.201
angles: 90.00 90.00 90.00
Space group F-43m (No. 216)
Inequivalent atoms, fractional coordinates:
Dy 0.000 0.000 0.000
Er 0.000 0.000 0.500
Tl 0.250 0.250 0.750
Rh 0.250 0.250 0.250

=====

Number 1: calculated density 8.62 g cm⁻³, E_tot -33.2 eV/cell. Number 2: calculated density 8.76 g cm⁻³, E_tot -51.0 eV/cell. Number 3: calculated density 6.48 g cm⁻³, E_tot -56.0 eV/cell. Number 4: calculated density 5.26 g cm⁻³, E_tot -156.2 eV/cell. Number 5: calculated density 5.58 g cm⁻³, E_tot -100.1 eV/cell. Number 6: calculated density 1.76 g cm⁻³, E_tot -7.9 eV/cell. Number 7: calculated density 7.81 g cm⁻³, E_tot -114.7 eV/cell. Number 8: calculated density 11.33 g cm⁻³, E_tot -83.7 eV/cell.